Arrangement a

Computed, not measured: SbP2Br after structural relaxation at the PBEsol level of DFT.

a = 3.263 Å, b = 6.452 Å, c = 9.406 Å
α = 90.00°, β = 90.00°, γ = 90.00°
Fractional coordinates of all 8 atoms:
Sb  0.000  0.000  0.000
Sb  0.500  0.500  0.000
P  0.000  0.000  0.561
P  0.000  0.500  0.707
P  0.500  0.000  0.707
P  0.500  0.500  0.561
Br  0.000  0.500  0.240
Br  0.500  0.000  0.240

Values from the calculation:
- M_tot: 0.00 μB per formula unit


Arrangement b

Computed, not measured: SbP2Br after structural relaxation at the PBEsol level of DFT.

a = 6.774 Å, b = 6.774 Å, c = 6.774 Å
α = 90.00°, β = 90.00°, γ = 90.00°
Fractional coordinates of all 16 atoms:
Sb  0.000  0.000  0.000
Sb  0.000  0.500  0.500
Sb  0.500  0.000  0.500
Sb  0.500  0.500  0.000
P  0.000  0.000  0.500
P  0.000  0.500  0.000
P  0.250  0.250  0.750
P  0.250  0.750  0.250
P  0.500  0.000  0.000
P  0.500  0.500  0.500
P  0.750  0.250  0.250
P  0.750  0.750  0.750
Br  0.250  0.250  0.250
Br  0.250  0.750  0.750
Br  0.750  0.250  0.750
Br  0.750  0.750  0.250

Values from the calculation:
- M_tot: 0.00 μB per formula unit


Energies in eV/atom, measured from the most stable structure: arrangement a 0.000; arrangement b 0.294.


Arrangement a

Computed, not measured: SbP2Br after structural relaxation at the PBEsol level of DFT.

a = 3.768 Å, b = 3.768 Å, c = 6.424 Å
α = 90.00°, β = 90.00°, γ = 90.00°
Fractional coordinates of all 4 atoms:
Sb  0.000  0.000  0.000
P  0.500  0.500  0.171
P  0.500  0.500  0.829
Br  0.000  0.000  0.500

Values from the calculation:
- M_tot: 0.00 μB per formula unit


Arrangement b

Computed, not measured: SbP2Br after structural relaxation at the PBEsol level of DFT.

a = 3.788 Å, b = 3.868 Å, c = 12.985 Å
α = 90.00°, β = 90.00°, γ = 90.00°
Fractional coordinates of all 8 atoms:
Sb  0.000  0.000  0.000
Sb  0.500  0.500  0.500
P  0.000  0.000  0.432
P  0.000  0.500  0.833
P  0.500  0.000  0.333
P  0.500  0.500  0.932
Br  0.000  0.500  0.172
Br  0.500  0.000  0.672

Values from the calculation:
- M_tot: 0.00 μB per formula unit


Energies in eV/atom, measured from the most stable structure: arrangement a 0.176; arrangement b 0.000.


Arrangement a

Computed, not measured: P2SeBr after structural relaxation at the PBEsol level of DFT.

a = 9.988 Å, b = 3.262 Å, c = 5.718 Å
α = 90.00°, β = 99.43°, γ = 90.00°
Fractional coordinates of all 8 atoms:
P  0.000  0.000  0.000
P  0.064  0.500  0.269
P  0.500  0.500  0.000
P  0.564  0.000  0.269
Se  0.186  0.000  0.834
Se  0.686  0.500  0.834
Br  0.374  0.000  0.430
Br  0.874  0.500  0.430

Values from the calculation:
- M_tot: 0.00 μB per formula unit


Arrangement b

Computed, not measured: P2SeBr after structural relaxation at the PBEsol level of DFT.

a = 3.427 Å, b = 3.750 Å, c = 6.474 Å
α = 90.00°, β = 90.00°, γ = 90.00°
Fractional coordinates of all 4 atoms:
P  0.000  0.000  0.000
P  0.500  0.000  0.500
Se  0.000  0.500  0.500
Br  0.500  0.500  0.000

Values from the calculation:
- M_tot: 0.00 μB per formula unit


Energies in eV/atom, measured from the most stable structure: arrangement a 0.000; arrangement b 0.613.


Arrangement a

Computed, not measured: PWSeBr2 after structural relaxation at the PBEsol level of DFT.

a = 4.808 Å, b = 4.808 Å, c = 5.100 Å
α = 90.00°, β = 90.00°, γ = 90.00°
Fractional coordinates of all 5 atoms:
P  0.000  0.000  0.000
W  0.500  0.500  0.500
Se  0.000  0.000  0.500
Br  0.000  0.500  0.000
Br  0.500  0.000  0.000

Values from the calculation:
- M_tot: 4.51 μB per formula unit


Arrangement b

Computed, not measured: PWSeBr2 after structural relaxation at the PBEsol level of DFT.

a = 5.061 Å, b = 5.061 Å, c = 4.828 Å
α = 90.00°, β = 90.00°, γ = 90.00°
Fractional coordinates of all 5 atoms:
P  0.000  0.000  0.000
W  0.500  0.500  0.500
Se  0.500  0.500  0.000
Br  0.000  0.500  0.500
Br  0.500  0.000  0.500

Values from the calculation:
- M_tot: 2.84 μB per formula unit


Energies in eV/atom, measured from the most stable structure: arrangement a 0.516; arrangement b 0.000.


Arrangement a

Computed, not measured: TcP2Br after structural relaxation at the PBEsol level of DFT.

a = 3.503 Å, b = 4.395 Å, c = 4.753 Å
α = 90.00°, β = 106.08°, γ = 90.00°
Fractional coordinates of all 4 atoms:
Tc  0.000  0.000  0.000
P  0.193  0.500  0.851
P  0.807  0.500  0.149
Br  0.500  0.000  0.500

Values from the calculation:
- M_tot: 0.00 μB per formula unit


Arrangement b

Computed, not measured: TcP2Br after structural relaxation at the PBEsol level of DFT.

a = 6.189 Å, b = 6.189 Å, c = 6.189 Å
α = 90.00°, β = 90.00°, γ = 90.00°
Fractional coordinates of all 16 atoms:
Tc  0.000  0.000  0.000
Tc  0.000  0.500  0.500
Tc  0.500  0.000  0.500
Tc  0.500  0.500  0.000
P  0.000  0.000  0.500
P  0.000  0.500  0.000
P  0.250  0.250  0.750
P  0.250  0.750  0.250
P  0.500  0.000  0.000
P  0.500  0.500  0.500
P  0.750  0.250  0.250
P  0.750  0.750  0.750
Br  0.250  0.250  0.250
Br  0.250  0.750  0.750
Br  0.750  0.250  0.750
Br  0.750  0.750  0.250

Values from the calculation:
- M_tot: 0.00 μB per formula unit


Energies in eV/atom, measured from the most stable structure: arrangement a 0.000; arrangement b 0.398.


Arrangement a

Computed, not measured: Tl2PBr after structural relaxation at the PBEsol level of DFT.

a = 7.320 Å, b = 7.320 Å, c = 7.320 Å
α = 90.00°, β = 90.00°, γ = 90.00°
Fractional coordinates of all 16 atoms:
Tl  0.000  0.000  0.000
Tl  0.000  0.500  0.500
Tl  0.250  0.250  0.250
Tl  0.250  0.750  0.750
Tl  0.500  0.000  0.500
Tl  0.500  0.500  0.000
Tl  0.750  0.250  0.750
Tl  0.750  0.750  0.250
P  0.250  0.250  0.750
P  0.250  0.750  0.250
P  0.750  0.250  0.250
P  0.750  0.750  0.750
Br  0.000  0.000  0.500
Br  0.000  0.500  0.000
Br  0.500  0.000  0.000
Br  0.500  0.500  0.500

Values from the calculation:
- M_tot: 0.00 μB per formula unit


Arrangement b

Computed, not measured: Tl2PBr after structural relaxation at the PBEsol level of DFT.

a = 4.245 Å, b = 4.245 Å, c = 5.948 Å
α = 90.00°, β = 90.00°, γ = 90.00°
Fractional coordinates of all 4 atoms:
Tl  0.000  0.000  0.000
Tl  0.500  0.500  0.499
P  0.500  0.500  0.000
Br  0.000  0.000  0.500

Values from the calculation:
- M_tot: 0.00 μB per formula unit


Energies in eV/atom, measured from the most stable structure: arrangement a 0.296; arrangement b 0.000.


Arrangement a

Computed, not measured: PWBr2 after structural relaxation at the PBEsol level of DFT.

a = 4.396 Å, b = 4.396 Å, c = 7.086 Å
α = 90.00°, β = 90.00°, γ = 90.00°
Fractional coordinates of all 8 atoms:
P  0.000  0.000  0.000
P  0.500  0.500  0.500
W  0.000  0.500  0.750
W  0.500  0.000  0.250
Br  0.000  0.000  0.500
Br  0.000  0.500  0.250
Br  0.500  0.000  0.750
Br  0.500  0.500  0.000

Values from the calculation:
- M_tot: 0.00 μB per formula unit


Arrangement b

Computed, not measured: PWBr2 after structural relaxation at the PBEsol level of DFT.

a = 2.995 Å, b = 4.526 Å, c = 5.263 Å
α = 90.00°, β = 90.00°, γ = 90.00°
Fractional coordinates of all 4 atoms:
P  0.000  0.000  0.000
W  0.500  0.000  0.500
Br  0.000  0.500  0.500
Br  0.500  0.500  0.000

Values from the calculation:
- M_tot: 0.05 μB per formula unit


Energies in eV/atom, measured from the most stable structure: arrangement a 0.000; arrangement b 0.130.